(1)
A plane-wave DFT calculation with GGA-PBE was carried out for a relaxed ReAgW2 crystal.

Cell lengths 9.859, 9.859, 9.859 Å; angles 16.24, 16.24, 16.24 degrees
Positions (direct):
1 Re 0.747 0.747 0.747
2 Ag 0.499 0.499 0.499
3 W 0.002 0.002 0.002
4 W 0.251 0.251 0.251

Calculated values
Polymorph energy (0 for the lowest one): 126.4 meV/atom
V: 65.3 Å³/f.u.
Formation energy from the elements: 1.9 eV per formula unit
DOS at the Fermi energy: 5.294 states/eV/cell


(2)
A plane-wave DFT calculation with GGA-PBE was carried out for a relaxed ReAgW2 crystal.

Cell lengths 4.879, 4.879, 4.879 Å; angles 131.44, 131.44, 71.11 degrees
Positions (direct):
1 Re 0.750 0.250 0.500
2 Ag 0.500 0.500 0.000
3 W 0.000 0.000 0.000
4 W 0.250 0.750 0.500

Calculated values
Polymorph energy (0 for the lowest one): 214.2 meV/atom
V: 63.9 Å³/f.u.
Formation energy from the elements: 2.3 eV per formula unit
DOS at the Fermi energy: 3.119 states/eV/cell


(3)
A plane-wave DFT calculation with GGA-PBE was carried out for a relaxed ReAgW2 crystal.

Cell lengths 2.899, 3.946, 5.718 Å; angles 90.00, 90.00, 90.00 degrees
Positions (direct):
1 Re 0.500 0.500 0.779
2 Ag 0.000 0.000 0.500
3 W 0.000 0.000 0.990
4 W 0.500 0.500 0.231

Calculated values
Polymorph energy (0 for the lowest one): 170.3 meV/atom
V: 65.4 Å³/f.u.
Formation energy from the elements: 2.1 eV per formula unit
DOS at the Fermi energy: 2.750 states/eV/cell


(4)
A plane-wave DFT calculation with GGA-PBE was carried out for a relaxed Y2ReAg crystal.

Cell lengths 7.884, 4.994, 3.523 Å; angles 89.90, 63.59, 129.23 degrees
Positions (direct):
1 Ag 0.000 0.500 0.500
2 Re 0.500 0.500 0.000
3 Y 0.000 0.000 0.000
4 Y 0.500 0.000 0.500

Calculated values
Polymorph energy (0 for the lowest one): 118.6 meV/atom
V: 87.9 Å³/f.u.
Formation energy from the elements: 0.3 eV per formula unit
DOS at the Fermi energy: 4.429 states/eV/cell


(5)
A plane-wave DFT calculation with GGA-PBE was carried out for a relaxed YRe2Ag crystal.

Cell lengths 2.848, 2.848, 9.539 Å; angles 90.00, 90.00, 110.62 degrees
Positions (direct):
1 Ag 0.500 0.500 0.767
2 Re 0.000 0.000 0.018
3 Re 0.500 0.500 0.228
4 Y 0.000 0.000 0.486

Calculated values
Polymorph energy (0 for the lowest one): 335.1 meV/atom
V: 72.4 Å³/f.u.
Formation energy from the elements: 1.9 eV per formula unit
DOS at the Fermi energy: 3.367 states/eV/cell


(6)
A plane-wave DFT calculation with GGA-PBE was carried out for a relaxed YRe3Ag crystal.

Cell lengths 4.831, 4.831, 4.831 Å; angles 90.00, 90.00, 90.00 degrees
Site moments in Bohr magnetons follow the coordinates.
Positions (direct):
1 Y 0.000 0.000 0.000  0.02
2 Re 0.000 0.500 0.000  0.42
3 Re 0.000 0.000 0.500  0.42
4 Re 0.500 0.000 0.000  0.39
5 Ag 0.500 0.500 0.500  0.02

Calculated values
Polymorph energy (0 for the lowest one): 773.7 meV/atom
V: 112.7 Å³/f.u.
Formation energy from the elements: 15.7 eV per formula unit
DOS at the Fermi energy: 10.876 states/eV/cell


(7)
A plane-wave DFT calculation with GGA-PBE was carried out for a relaxed Y2ReAg crystal.

Cell lengths 4.982, 4.982, 4.982 Å; angles 60.00, 60.00, 60.00 degrees
Positions (direct):
1 Y 0.250 0.250 0.250
2 Y 0.750 0.750 0.750
3 Re 0.500 0.500 0.500
4 Ag 0.000 0.000 0.000

Calculated values
Polymorph energy (0 for the lowest one): 75.1 meV/atom
V: 87.4 Å³/f.u.
Formation energy from the elements: 0.1 eV per formula unit
DOS at the Fermi energy: 2.054 states/eV/cell


(8)
A plane-wave DFT calculation with GGA-PBE was carried out for a relaxed Y2ReAg crystal.

Cell lengths 4.243, 4.243, 7.734 Å; angles 81.02, 81.02, 45.82 degrees
Positions (direct):
1 Ag 0.750 0.750 0.750
2 Re 0.250 0.250 0.250
3 Y 0.992 0.992 0.032
4 Y 0.508 0.508 0.468

Calculated values
Polymorph energy (0 for the lowest one): 384.4 meV/atom
V: 98.4 Å³/f.u.
Formation energy from the elements: 1.3 eV per formula unit
DOS at the Fermi energy: 3.059 states/eV/cell


(9)
A plane-wave DFT calculation with GGA-PBE was carried out for a relaxed YRe3Ag crystal.

Cell lengths 4.810, 4.810, 4.810 Å; angles 90.00, 90.00, 90.00 degrees
Positions (direct):
1 Y 0.500 0.500 0.500
2 Re 0.000 0.500 0.000
3 Re 0.000 0.000 0.500
4 Re 0.500 0.000 0.000
5 Ag 0.000 0.000 0.000

Calculated values
Polymorph energy (0 for the lowest one): 0.0 meV/atom
V: 111.3 Å³/f.u.
Formation energy from the elements: 11.8 eV per formula unit
DOS at the Fermi energy: 9.996 states/eV/cell


(10)
A plane-wave DFT calculation with GGA-PBE was carried out for a relaxed Y2ReAg crystal.

Cell lengths 3.309, 4.611, 6.044 Å; angles 90.00, 90.00, 90.00 degrees
Positions (direct):
1 Ag 0.000 0.000 0.466
2 Re 0.500 0.500 0.803
3 Y 0.000 0.000 0.934
4 Y 0.500 0.500 0.297

Calculated values
Polymorph energy (0 for the lowest one): 382.0 meV/atom
V: 92.2 Å³/f.u.
Formation energy from the elements: 1.3 eV per formula unit
DOS at the Fermi energy: 3.531 states/eV/cell


(11)
A plane-wave DFT calculation with GGA-PBE was carried out for a relaxed YRe2Ag crystal.

Cell lengths 5.040, 2.898, 5.041 Å; angles 85.37, 90.00, 90.00 degrees
Positions (direct):
1 Ag 0.500 0.750 0.750
2 Re 0.000 0.922 0.015
3 Re 0.000 0.578 0.485
4 Y 0.500 0.250 0.250

Calculated values
Polymorph energy (0 for the lowest one): 360.8 meV/atom
V: 73.4 Å³/f.u.
Formation energy from the elements: 2.0 eV per formula unit
DOS at the Fermi energy: 3.374 states/eV/cell


(12)
A plane-wave DFT calculation with GGA-PBE was carried out for a relaxed YRe2Ag crystal.

Cell lengths 4.668, 4.668, 4.668 Å; angles 60.00, 60.00, 60.00 degrees
Positions (direct):
1 Ag 0.500 0.500 0.500
2 Re 0.000 0.000 0.000
3 Re 0.250 0.250 0.250
4 Y 0.750 0.750 0.750

Calculated values
Polymorph energy (0 for the lowest one): 282.9 meV/atom
V: 71.9 Å³/f.u.
Formation energy from the elements: 1.7 eV per formula unit
DOS at the Fermi energy: 2.165 states/eV/cell


(13)
A plane-wave DFT calculation with GGA-PBE was carried out for a relaxed YRe2Ag crystal.

Cell lengths 2.775, 2.775, 9.726 Å; angles 90.00, 90.00, 108.72 degrees
Positions (direct):
1 Ag 0.500 0.500 0.750
2 Re 0.000 0.000 0.992
3 Re 0.000 0.000 0.508
4 Y 0.500 0.500 0.250

Calculated values
Polymorph energy (0 for the lowest one): 552.9 meV/atom
V: 70.9 Å³/f.u.
Formation energy from the elements: 2.8 eV per formula unit
DOS at the Fermi energy: 4.321 states/eV/cell


(14)
A plane-wave DFT calculation with GGA-PBE was carried out for a relaxed YRe2Ag crystal.

Cell lengths 4.682, 4.682, 4.682 Å; angles 60.00, 60.00, 60.00 degrees
Site moments in Bohr magnetons follow the coordinates.
Positions (direct):
1 Y 0.000 0.000 0.000  0.07
2 Re 0.250 0.250 0.250  0.52
3 Re 0.750 0.750 0.750  0.52
4 Ag 0.500 0.500 0.500  0.04

Calculated values
Polymorph energy (0 for the lowest one): 906.1 meV/atom
V: 72.6 Å³/f.u.
Formation energy from the elements: 4.2 eV per formula unit
DOS at the Fermi energy: 6.591 states/eV/cell


(15)
A plane-wave DFT calculation with GGA-PBE was carried out for a relaxed Y2ReAg crystal.

Cell lengths 4.499, 4.499, 10.093 Å; angles 77.12, 77.12, 90.00 degrees
Site moments in Bohr magnetons follow the coordinates.
Positions (direct):
1 Y 0.638 0.125 0.250  -0.07
2 Y 0.112 0.625 0.250  -0.07
3 Y 0.375 0.362 0.750  -0.07
4 Y 0.875 0.888 0.750  -0.07
5 Re 0.000 0.000 0.000  0.41
6 Re 0.750 0.250 0.500  0.42
7 Ag 0.500 0.500 0.000  -0.01
8 Ag 0.250 0.750 0.500  -0.01

Calculated values
Polymorph energy (0 for the lowest one): 948.1 meV/atom
V: 96.9 Å³/f.u.
Formation energy from the elements: 3.6 eV per formula unit
DOS at the Fermi energy: 7.444 states/eV/cell


(16)
A plane-wave DFT calculation with GGA-PBE was carried out for a relaxed Y2ReAg crystal.

Cell lengths 5.790, 5.790, 5.101 Å; angles 74.26, 74.26, 33.25 degrees
Positions (direct):
1 Ag 0.530 0.530 0.517
2 Re 0.234 0.234 0.213
3 Y 0.970 0.970 0.067
4 Y 0.766 0.766 0.703

Calculated values
Polymorph energy (0 for the lowest one): 232.0 meV/atom
V: 89.9 Å³/f.u.
Formation energy from the elements: 0.7 eV per formula unit
DOS at the Fermi energy: 3.315 states/eV/cell


(17)
A plane-wave DFT calculation with GGA-PBE was carried out for a relaxed YReAg3 crystal.

Cell lengths 5.006, 5.006, 5.006 Å; angles 90.00, 90.00, 90.00 degrees
Positions (direct):
1 Y 0.500 0.500 0.500
2 Re 0.000 0.000 0.000
3 Ag 0.000 0.500 0.000
4 Ag 0.000 0.000 0.500
5 Ag 0.500 0.000 0.000

Calculated values
Polymorph energy (0 for the lowest one): 0.0 meV/atom
V: 125.5 Å³/f.u.
Formation energy from the elements: 5.3 eV per formula unit
DOS at the Fermi energy: 5.610 states/eV/cell


(18)
A plane-wave DFT calculation with GGA-PBE was carried out for a relaxed Y4ReAg crystal.

Cell lengths 5.979, 5.979, 5.979 Å; angles 60.00, 60.00, 60.00 degrees
Positions (direct):
1 Y 0.879 0.374 0.374
2 Y 0.374 0.374 0.879
3 Y 0.374 0.879 0.374
4 Y 0.374 0.374 0.374
5 Re 0.000 0.000 0.000
6 Ag 0.750 0.750 0.750

Calculated values
V: 151.2 Å³/f.u.
Formation energy from the elements: 5.6 eV per formula unit
DOS at the Fermi energy: 5.209 states/eV/cell


(19)
A plane-wave DFT calculation with GGA-PBE was carried out for a relaxed Y3ReAg crystal.

Cell lengths 5.383, 5.383, 5.383 Å; angles 90.00, 90.00, 90.00 degrees
Positions (direct):
1 Y 0.000 0.500 0.000
2 Y 0.000 0.000 0.500
3 Y 0.500 0.000 0.000
4 Re 0.000 0.000 0.000
5 Ag 0.500 0.500 0.500

Calculated values
Polymorph energy (0 for the lowest one): 0.0 meV/atom
V: 156.0 Å³/f.u.
Formation energy from the elements: 1.7 eV per formula unit
DOS at the Fermi energy: 5.670 states/eV/cell


(20)
A plane-wave DFT calculation with GGA-PBE was carried out for a relaxed Y2ReAg crystal.

Cell lengths 3.466, 3.488, 8.203 Å; angles 65.01, 90.00, 90.00 degrees
Positions (direct):
1 Ag 0.500 0.250 0.250
2 Re 0.500 0.750 0.750
3 Y 0.000 0.026 0.974
4 Y 0.000 0.474 0.526

Calculated values
Polymorph energy (0 for the lowest one): 0.0 meV/atom
V: 89.9 Å³/f.u.
Formation energy from the elements: -0.2 eV per formula unit
DOS at the Fermi energy: 2.732 states/eV/cell